Density functional theory data (GGA-PBE) for a geometry-optimized AlSb2Te structure.

Structure (POSCAR):
```
AlSb2Te
1.0
5.143 0.000 0.000
0.000 4.264 0.000
-1.816 0.000 5.013
Al Sb Te
1 2 1
Cartesian
0.000 0.000 0.000
-0.276 2.132 3.937
3.603 2.132 1.075
1.663 0.000 2.506
```

Mass density: 6.014 g/cm3
Energy relative to the elements, uncorrected: 0.04 eV per formula unit
Total DFT energy (no corrections): -15.09 eV per cell
Symmetry: No. 10

***

Density functional theory data (GGA-PBE) for a geometry-optimized KRu2Rh structure.

Structure (POSCAR):
```
KRu2Rh
1.0
2.777 -4.562 0.000
2.777 4.562 0.000
0.000 0.000 2.639
K Ru Rh
1 2 1
Cartesian
0.000 0.000 0.000
1.388 2.281 1.320
1.388 -2.281 1.320
2.777 0.000 0.000
```

Mass density: 8.546 g/cm3
Total DFT energy (no corrections): -22.31 eV per cell
ΔH_f (0 K): 1.1725 eV/atom
Symmetry: No. 65

***

Density functional theory data (GGA-PBE) for a geometry-optimized Y2MnSbOs structure.

Structure (POSCAR):
```
Y2MnSbOs
1.0
5.433 0.000 0.000
0.000 5.433 0.000
0.000 0.000 4.546
Y Mn Sb Os
2 1 1 1
Cartesian
0.000 2.717 0.000
2.717 0.000 0.000
0.000 0.000 2.273
2.717 2.717 2.273
0.000 0.000 0.000
```

Mass density: 6.740 g/cm3
Energy relative to the elements, uncorrected: 0.40 eV per formula unit
Total DFT energy (no corrections): -37.05 eV per cell
Symmetry: No. 123

***

Density functional theory data (GGA-PBE) for a geometry-optimized Pr4Tl3 structure.

Structure (POSCAR):
```
Pr4Tl3
1.0
7.432 4.291 2.283
-7.432 4.291 2.283
0.000 -8.581 2.283
Pr Tl
8 6
Cartesian
0.000 0.000 0.000
-4.068 -3.565 3.314
-5.121 1.740 3.535
1.053 -5.305 3.535
0.000 0.000 3.425
-1.053 5.305 3.314
5.121 -1.740 3.314
4.068 3.565 3.535
-0.917 -2.893 2.037
-2.047 2.240 2.037
-2.964 -0.653 4.812
2.964 0.653 2.037
2.047 -2.240 4.812
0.917 2.893 4.812
```

Mass density: 8.947 g/cm3
Total DFT energy (no corrections): -56.85 eV per cell
ΔH_f (0 K): -0.3155 eV/atom
Symmetry: No. 148

***

Density functional theory data (GGA-PBE) for a geometry-optimized Th2PaCrN5 structure.

Structure (POSCAR):
```
Th2PaCrN5
1.0
6.638 0.000 0.000
0.000 6.638 0.000
0.000 0.000 5.760
Th Pa Cr N
4 2 2 10
Cartesian
1.108 2.211 0.000
2.211 5.530 0.000
4.427 1.108 0.000
5.530 4.427 0.000
0.000 0.000 2.880
3.319 3.319 2.880
0.000 3.319 2.880
3.319 0.000 2.880
0.000 0.000 0.000
0.996 4.314 1.603
0.996 4.314 4.157
2.323 0.996 1.603
2.323 0.996 4.157
3.319 3.319 0.000
4.314 5.642 1.603
4.314 5.642 4.157
5.642 2.323 1.603
5.642 2.323 4.157
```

Mass density: 10.694 g/cm3
Energy relative to the elements, uncorrected: -9.31 eV per formula unit
Total DFT energy (no corrections): -169.79 eV per cell
Symmetry: No. 127

***

Density functional theory data (GGA-PBE) for a geometry-optimized Dy3ErAu3 structure.

Structure (POSCAR):
```
Dy3ErAu3
1.0
5.185 -4.965 0.000
5.185 4.965 0.000
-0.933 0.000 7.014
Dy Er Au
6 2 6
Cartesian
5.185 3.009 0.000
4.718 2.213 3.507
3.183 0.000 0.038
6.253 0.000 6.976
4.718 -2.213 3.507
5.185 -3.009 0.000
2.003 0.000 3.331
7.432 0.000 3.683
1.847 2.436 5.322
-0.222 0.000 4.999
1.847 -2.436 5.322
7.589 2.436 1.692
9.658 0.000 2.015
7.589 -2.436 1.692
```

Mass density: 11.455 g/cm3
Total DFT energy (no corrections): -65.63 eV per cell
ΔH_f (0 K): -0.6592 eV/atom
Symmetry: No. 12

***

Density functional theory data (GGA-PBE) for a geometry-optimized MgPaCo2 structure.

Structure (POSCAR):
```
MgPaCo2
1.0
4.447 0.000 0.000
0.000 4.447 0.000
0.000 0.000 3.252
Mg Pa Co
1 1 2
Cartesian
0.000 0.000 0.000
2.224 2.224 0.000
0.000 2.224 1.626
2.224 0.000 1.626
```

Mass density: 9.636 g/cm3
Total DFT energy (no corrections): -25.79 eV per cell
ΔH_f (0 K): -0.1226 eV/atom
Symmetry: No. 123

***

Density functional theory data (GGA-PBE) for a geometry-optimized Mg3TiNi structure.

Structure (POSCAR):
```
Mg3TiNi
1.0
4.678 0.000 0.000
0.000 4.678 0.000
0.000 0.000 4.678
Mg Ti Ni
3 1 1
Cartesian
0.000 0.000 2.339
0.000 2.339 0.000
2.339 0.000 0.000
2.339 2.339 2.339
0.000 0.000 0.000
```

Mass density: 2.912 g/cm3
Total DFT energy (no corrections): -16.38 eV per cell
ΔH_f (0 K): 0.4153 eV/atom
Symmetry: No. 221

***

no.,total magnetic moment (μB/f.u.)
1,0.0
2,1.2
3,2.7
4,0.0
5,2.0
6,0.0
7,0.2
8,0.0